A plane-wave DFT calculation with PBE was carried out for a relaxed structure of SrReN2F.

```
SrReN2F
1.0
-3.363 2.982 -1.724
1.467 -0.939 -4.488
-2.847 -3.344 -0.231
N F Sr Re
2 1 1 1
Cartesian
0.734 -0.470 -2.244
-1.681 1.491 -0.862
-1.423 -1.672 -0.116
0.000 0.000 0.000
-2.371 -0.650 -3.221
```

Computed properties:
energy relative to the elements, uncorrected: 1.5431 eV per atom
crystal system: tetragonal
E_tot: -0.367 Ry per atom
polymorph energy (0 for the lowest one): 12.33 eV per formula unit